A relaxed PaZn2FeO6 crystal. Source: Alexandria, functional GGA+U.

Unit cell a=6.906 b=6.906 c=5.437 alpha=98.16 beta=98.16 gamma=82.72
Fractional coordinates of all 20 atoms:
Pa1 0.222 0.778 0.750
Pa2 0.778 0.222 0.250
Zn1 0.104 0.304 0.819
Zn2 0.304 0.104 0.319
Zn3 0.696 0.896 0.681
Zn4 0.896 0.696 0.181
Fe1 0.416 0.584 0.250
Fe2 0.584 0.416 0.750
O1 0.059 0.214 0.130
O2 0.157 0.629 0.372
O3 0.214 0.059 0.630
O4 0.322 0.480 0.891
O5 0.371 0.843 0.128
O6 0.480 0.322 0.391
O7 0.520 0.678 0.609
O8 0.629 0.157 0.872
O9 0.678 0.520 0.109
O10 0.786 0.941 0.370
O11 0.843 0.371 0.628
O12 0.941 0.786 0.870

Calculated values
- Space-group type: C2/c, No. 15
- Electronic total energy: -134.5 eV for the cell shown